(1)
# K2Na5Cd2In

A relaxed structure of K2Na5Cd2In (PBE-GGA, Alexandria via LeMat-Bulk).

For the energy relative to the elements, the calculation gives -0.0212 eV per atom. As for the space group: P4/mbm. The density of states at the Fermi level comes out at 9.62 states/eV per cell.

Structure (POSCAR):
```
K2Na5Cd2In
1.0
-0.4954 3.1031 -3.6023
-11.9932 -2.3582 -0.3820
-2.0250 8.9981 8.0298
Na K Cd In
10 4 4 2
Direct
0.5000 0.4368 0.3038
0.5000 0.5632 0.6962
0.5000 0.0000 0.5000
0.5000 0.8038 0.9368
0.5000 0.6962 0.4368
0.5000 0.9368 0.1962
0.5000 0.5000 0.0000
0.5000 0.1962 0.0632
0.5000 0.3038 0.5632
0.5000 0.0632 0.8038
0.0000 0.6768 0.1768
0.0000 0.3232 0.8232
0.0000 0.8232 0.6768
0.0000 0.1768 0.3232
0.0000 0.6187 0.8813
0.0000 0.8813 0.3813
0.0000 0.3813 0.1187
0.0000 0.1187 0.6187
0.0000 0.0000 0.0000
0.0000 0.5000 0.5000
```

---

(2)
# Sc2AgPb

A relaxed structure of Sc2AgPb (PBE-GGA, Alexandria via LeMat-Bulk).

For the energy relative to the elements, the calculation gives -0.3242 eV per atom. As for the space group: P4/mmm. The density of states at the Fermi level comes out at 3.37 states/eV per cell.

Structure (POSCAR):
```
Sc2AgPb
1.0
-4.0693 -0.0350 2.4087
1.1335 -4.1991 1.8557
1.7857 1.8274 3.0395
Sc Pb Ag
2 1 1
Direct
0.0000 0.0000 0.0000
0.5000 0.5000 0.0000
0.0000 0.5000 0.5000
0.5000 0.0000 0.5000
```

---

(3)
# AcCe3Ho2Se6

A relaxed structure of AcCe3Ho2Se6 (PBE-GGA, Alexandria via LeMat-Bulk).

The total energy is -0.449 Ry per atom. As for the space group: C2/m. The density of states at the Fermi level comes out at 19.77 states/eV per cell.

Structure (POSCAR):
```
AcCe3Ho2Se6
1.0
7.2732 -0.0045 -0.0045
-3.6387 6.2976 -0.0045
-1.2163 -2.1060 6.8908
Se Ce Ac Ho
6 3 1 2
Direct
0.5661 0.9170 0.7518
0.9170 0.5661 0.7518
0.0830 0.4339 0.2482
0.2719 0.2719 0.7603
0.4339 0.0830 0.2482
0.7281 0.7281 0.2397
0.1590 0.8410 0.5000
0.5000 0.5000 0.5000
0.8410 0.1590 0.5000
0.0000 0.0000 0.0000
0.6679 0.3321 0.0000
0.3321 0.6679 0.0000
```